Crystalline NiSbW at its relaxed geometry. Source: Alexandria via LeMat-Bulk, functional PBE-GGA.

Output
- magnetization (μB per formula unit) = 0.0
- formation energy without anion corrections (eV per atom) = 0.495
- distance to the lowest polymorph of the same formula (meV per atom) = 41
- space-group type = No. 156
- N(E_F) (states/eV/cell) = 3.1

```
data_NiSbW
_cell_length_a 4.373
_cell_length_b 4.373
_cell_length_c 2.897
_cell_angle_alpha 90.00
_cell_angle_beta 90.00
_cell_angle_gamma 120.00
_space_group_name_H-M_alt 'P 1'
_space_group_IT_number 1
_space_group_name_Hall 'P 1'
loop_
_atom_site_label
_atom_site_fract_x
_atom_site_fract_y
_atom_site_fract_z
Sb1 0.667 0.333 0.166
W1 0.333 0.667 0.666
Ni1 0.000 0.000 0.168
```